(1)
DFT (PBE) results for LiLuMgAg after structural relaxation.

Values from the calculation:
Crystal system ... cubic
Formation energy from the elements ... -147 meV per atom
SG ... No. 216
Density of states at the Fermi level ... 5.5 states/eV/f.u.

Cell: 4.883 4.883 4.883 Å, 60.00 60.00 60.00°
Atoms (fractional coordinates):
Mg: 0.250 0.250 0.250
Ag: 0.500 0.500 0.500
Li: 0.000 0.000 0.000
Lu: 0.750 0.750 0.750



(2)
DFT (PBE) results for LiLuAgPb after structural relaxation.

Values from the calculation:
Crystal system ... cubic
Formation energy from the elements ... -318 meV per atom
SG ... No. 216
Density of states at the Fermi level ... 2.3 states/eV/f.u.

Cell: 4.999 4.999 4.999 Å, 60.00 60.00 60.00°
Atoms (fractional coordinates):
Pb: 0.750 0.750 0.750
Ag: 0.250 0.250 0.250
Li: 0.500 0.500 0.500
Lu: 0.000 0.000 0.000



(3)
DFT (PBE) results for LiPmLuAg after structural relaxation.

Values from the calculation:
Crystal system ... cubic
Formation energy from the elements ... -87 meV per atom
SG ... No. 216
Density of states at the Fermi level ... 3.7 states/eV/f.u.

Cell: 5.181 5.181 5.181 Å, 60.00 60.00 60.00°
Atoms (fractional coordinates):
Pm: 0.000 0.000 0.000
Li: 0.750 0.750 0.750
Lu: 0.500 0.500 0.500
Ag: 0.250 0.250 0.250



(4)
DFT (PBE) results for LiLuAgRh after structural relaxation.

Values from the calculation:
Crystal system ... cubic
Formation energy from the elements ... -410 meV per atom
SG ... No. 216
Density of states at the Fermi level ... 0.4 states/eV/f.u.

Cell: 4.650 4.650 4.650 Å, 60.00 60.00 60.00°
Atoms (fractional coordinates):
Ag: 0.250 0.250 0.250
Li: 0.500 0.500 0.500
Rh: 0.750 0.750 0.750
Lu: 0.000 0.000 0.000



(5)
DFT (PBE) results for LiLuAgSb after structural relaxation.

Values from the calculation:
E_form (uncorrected) ... -0.50 eV per atom
Crystal system ... cubic
SG ... No. 216
Density of states at the Fermi level ... 1.3 states/eV/f.u.

Cell: 4.973 4.973 4.973 Å, 60.00 60.00 60.00°
Atoms (fractional coordinates):
Sb: 0.000 0.000 0.000
Lu: 0.750 0.750 0.750
Ag: 0.500 0.500 0.500
Li: 0.250 0.250 0.250



(6)
DFT (PBE) results for LiLuScAg after structural relaxation.

Values from the calculation:
Crystal system ... cubic
Formation energy from the elements ... -86 meV per atom
SG ... No. 216
Density of states at the Fermi level ... 3.7 states/eV/f.u.

Cell: 4.954 4.954 4.954 Å, 60.00 60.00 60.00°
Atoms (fractional coordinates):
Li: 0.750 0.750 0.750
Ag: 0.250 0.250 0.250
Lu: 0.500 0.500 0.500
Sc: 0.000 0.000 0.000



Number 1: total magnetization 0.001 μB per atom. Number 2: total magnetization 0.000 μB per atom. Number 3: total magnetization 0.000 μB per atom. Number 4: total magnetization 0.000 μB per atom. Number 5: total magnetization 0.000 μB per atom. Number 6: total magnetization 0.000 μB per atom.